# 1
Ti2VGa3: relaxed, PBE.

Symmetry: Cmmm (65)
DOS(E_F) (states/eV/cell): 13.25
Energy of formation from the pure elements (eV per atom): -0.24
Relative energy among the computed polymorphs (meV/atom): 91

Structure (POSCAR):
```
Ti2VGa3
1.0
5.463 0.000 0.000
0.000 7.264 -1.836
0.000 -4.703 5.832
Ti Ga V
4 6 2
Direct
0.720 0.671 0.329 Ti
0.720 0.329 0.671 Ti
0.220 0.671 0.329 Ti
0.220 0.329 0.671 Ti
0.470 0.840 0.160 Ga
0.970 0.840 0.160 Ga
0.470 0.160 0.840 Ga
0.970 0.500 0.500 Ga
0.470 0.500 0.500 Ga
0.970 0.160 0.840 Ga
0.720 0.000 0.000 V
0.220 0.000 0.000 V
```


# 2
Ti6VGa10: relaxed, PBE.

Symmetry: P-31m (162)
DOS(E_F) (states/eV/cell): 12.54
Energy of formation from the pure elements (eV per atom): -0.26

Structure (POSCAR):
```
Ti6VGa10
1.0
5.368 0.000 0.000
0.000 6.681 -3.857
0.000 0.000 7.715
Ga V Ti
10 1 6
Direct
0.500 0.333 0.667 Ga
0.000 0.667 0.333 Ga
0.805 0.744 0.744 Ga
0.195 0.000 0.744 Ga
0.805 0.256 0.000 Ga
0.195 0.256 0.256 Ga
0.805 0.000 0.256 Ga
0.195 0.744 0.000 Ga
0.000 0.333 0.667 Ga
0.500 0.667 0.333 Ga
0.500 0.000 0.000 V
0.711 0.000 0.618 Ti
0.289 0.382 0.000 Ti
0.289 0.618 0.618 Ti
0.289 0.000 0.382 Ti
0.711 0.618 0.000 Ti
0.711 0.382 0.382 Ti
```


# 3
TiV2Ga5: relaxed, PBE.

Symmetry: I4/mcm (140)
DOS(E_F) (states/eV/cell): 11.13
Energy of formation from the pure elements (eV per atom): -0.11

Structure (POSCAR):
```
TiV2Ga5
1.0
-2.904 2.362 5.944
-1.527 -6.595 1.874
6.587 1.752 -1.629
Ga V Ti
10 4 2
Direct
0.980 0.480 0.664 Ga
0.000 0.000 0.000 Ga
0.480 0.684 0.664 Ga
0.684 0.184 0.664 Ga
0.316 0.816 0.336 Ga
0.184 0.980 0.664 Ga
0.520 0.316 0.336 Ga
0.020 0.520 0.336 Ga
0.500 0.500 0.000 Ga
0.816 0.020 0.336 Ga
0.353 0.853 0.000 V
0.147 0.353 0.000 V
0.647 0.147 0.000 V
0.853 0.647 0.000 V
0.250 0.250 0.500 Ti
0.750 0.750 0.500 Ti
```


# 4
TiVGa: relaxed, PBE.

Symmetry: P4/nmm (129)
DOS(E_F) (states/eV/cell): 4.92
Energy of formation from the pure elements (eV per atom): -0.27
Relative energy among the computed polymorphs (meV/atom): 0

Structure (POSCAR):
```
TiVGa
1.0
3.130 -0.114 0.378
0.069 3.131 0.378
-1.129 -1.064 9.011
Ti V Ga
2 2 2
Direct
0.250 0.250 0.408 Ti
0.750 0.750 0.592 Ti
0.750 0.750 0.932 V
0.250 0.250 0.068 V
0.250 0.250 0.772 Ga
0.750 0.750 0.228 Ga
```


# 5
Ti5VGa3: relaxed, PBE.

Symmetry: I4/mcm (140)
DOS(E_F) (states/eV/cell): 22.63
Energy of formation from the pure elements (eV per atom): -0.05
Relative energy among the computed polymorphs (meV/atom): 311

Structure (POSCAR):
```
Ti5VGa3
1.0
6.749 0.000 0.000
0.000 6.749 0.000
-3.375 -3.375 6.564
Ti Ga V
10 6 2
Direct
0.159 0.064 0.724 Ti
0.064 0.564 0.724 Ti
0.341 0.841 0.276 Ti
0.936 0.436 0.276 Ti
0.436 0.341 0.276 Ti
0.564 0.659 0.724 Ti
0.000 0.000 0.000 Ti
0.659 0.159 0.724 Ti
0.500 0.500 0.000 Ti
0.841 0.936 0.276 Ti
0.879 0.621 0.000 Ga
0.621 0.121 0.000 Ga
0.750 0.750 0.500 Ga
0.379 0.879 0.000 Ga
0.250 0.250 0.500 Ga
0.121 0.379 0.000 Ga
0.750 0.250 0.500 V
0.250 0.750 0.500 V
```


# 6
TiV3Ga2: relaxed, PBE.

Symmetry: C2/m (12)
DOS(E_F) (states/eV/cell): 11.09
Energy of formation from the pure elements (eV per atom): -0.21

Structure (POSCAR):
```
TiV3Ga2
1.0
-3.552 0.435 -2.313
5.245 0.650 -4.008
-3.299 -7.223 3.708
Ti V Ga
2 6 4
Direct
0.906 0.812 0.033 Ti
0.094 0.188 0.967 Ti
0.577 0.155 0.701 V
0.737 0.474 0.625 V
0.423 0.845 0.299 V
0.263 0.526 0.375 V
0.078 0.156 0.437 V
0.922 0.844 0.563 V
0.770 0.539 0.167 Ga
0.230 0.461 0.833 Ga
0.405 0.810 0.769 Ga
0.595 0.190 0.231 Ga
```


# 7
Ti2VGa2: relaxed, PBE.

Symmetry: P4/mbm (127)
DOS(E_F) (states/eV/cell): 10.94
Energy of formation from the pure elements (eV per atom): -0.30
Relative energy among the computed polymorphs (meV/atom): 0

Structure (POSCAR):
```
Ti2VGa2
1.0
-6.447 1.176 -1.705
0.882 -3.485 -5.739
-0.961 -2.915 1.623
V Ti Ga
2 4 4
Direct
0.500 0.500 0.000 V
0.000 0.000 0.000 V
0.674 0.826 0.500 Ti
0.826 0.326 0.500 Ti
0.326 0.174 0.500 Ti
0.174 0.674 0.500 Ti
0.130 0.370 0.000 Ga
0.870 0.630 0.000 Ga
0.370 0.870 0.000 Ga
0.630 0.130 0.000 Ga
```


# 8
TiV12Ga6: relaxed, PBE.

Symmetry: R-3 (148)
DOS(E_F) (states/eV/cell): 21.91
Energy of formation from the pure elements (eV per atom): -0.03

Structure (POSCAR):
```
TiV12Ga6
1.0
6.442 0.467 0.559
-0.515 6.439 0.559
-0.515 -0.600 6.435
Ga V Ti
6 12 1
Direct
0.123 0.739 0.278 Ga
0.877 0.261 0.722 Ga
0.722 0.877 0.261 Ga
0.278 0.123 0.739 Ga
0.261 0.722 0.877 Ga
0.739 0.278 0.123 Ga
0.851 0.623 0.934 V
0.803 0.520 0.434 V
0.623 0.934 0.851 V
0.434 0.803 0.520 V
0.197 0.480 0.566 V
0.934 0.851 0.623 V
0.480 0.566 0.197 V
0.149 0.377 0.066 V
0.377 0.066 0.149 V
0.520 0.434 0.803 V
0.066 0.149 0.377 V
0.566 0.197 0.480 V
0.000 0.000 0.000 Ti
```


# 9
Ti5VGa4: relaxed, PBE.

Symmetry: I4 (79)
DOS(E_F) (states/eV/cell): 8.11
Energy of formation from the pure elements (eV per atom): -0.12

Structure (POSCAR):
```
Ti5VGa4
1.0
5.347 0.000 0.000
2.674 5.629 0.000
2.674 0.000 5.629
Ti Ga V
5 4 1
Direct
0.744 0.221 0.386 Ti
0.352 0.779 0.614 Ti
0.131 0.614 0.221 Ti
0.286 0.000 0.000 Ti
0.966 0.386 0.779 Ti
0.820 0.828 0.638 Ga
0.458 0.362 0.828 Ga
0.648 0.638 0.172 Ga
0.286 0.172 0.362 Ga
0.820 0.000 0.000 V
```


# 10
TiV4Ga2: relaxed, PBE.

Symmetry: I4/mmm (139)
DOS(E_F) (states/eV/cell): 12.21
Energy of formation from the pure elements (eV per atom): 0.88
Relative energy among the computed polymorphs (meV/atom): 957

Structure (POSCAR):
```
TiV4Ga2
1.0
4.202 0.000 0.000
0.000 4.202 0.000
2.101 2.101 6.918
Ga V Ti
2 4 1
Direct
0.632 0.632 0.736 Ga
0.368 0.368 0.264 Ga
0.500 0.000 0.000 V
0.182 0.182 0.637 V
0.000 0.500 0.000 V
0.818 0.818 0.363 V
0.000 0.000 0.000 Ti
```


# 11
TiVGa: relaxed, PBE.

Symmetry: P3m1 (156)
DOS(E_F) (states/eV/cell): 3.60
Energy of formation from the pure elements (eV per atom): -0.10
Relative energy among the computed polymorphs (meV/atom): 169

Structure (POSCAR):
```
TiVGa
1.0
-0.061 -2.259 -1.526
1.056 -2.406 3.520
-4.219 0.759 -0.955
Ga Ti V
1 1 1
Direct
0.022 0.000 0.000 Ga
0.641 0.333 0.667 Ti
0.337 0.667 0.333 V
```


# 12
TiV4Ga4: relaxed, PBE.

Symmetry: P4_2/n (86)
DOS(E_F) (states/eV/cell): 15.76
Energy of formation from the pure elements (eV per atom): -0.03

Structure (POSCAR):
```
TiV4Ga4
1.0
4.848 0.000 0.000
0.000 7.471 0.000
0.000 0.000 7.471
Ga V Ti
8 8 2
Direct
0.088 0.296 0.379 Ga
0.088 0.704 0.621 Ga
0.588 0.879 0.204 Ga
0.412 0.204 0.121 Ga
0.912 0.379 0.704 Ga
0.412 0.796 0.879 Ga
0.588 0.121 0.796 Ga
0.912 0.621 0.296 Ga
0.613 0.854 0.550 V
0.613 0.146 0.450 V
0.887 0.354 0.050 V
0.113 0.950 0.354 V
0.387 0.550 0.146 V
0.887 0.646 0.950 V
0.387 0.450 0.854 V
0.113 0.050 0.646 V
0.500 0.500 0.500 Ti
0.000 0.000 0.000 Ti
```


# 13
Ti3V4Ga2: relaxed, PBE.

Symmetry: C2/m (12)
DOS(E_F) (states/eV/cell): 14.53
Energy of formation from the pure elements (eV per atom): -0.04

Structure (POSCAR):
```
Ti3V4Ga2
1.0
-3.004 0.460 -3.167
-1.262 -0.341 4.189
0.415 7.974 0.765
V Ti Ga
4 3 2
Direct
0.666 0.333 0.101 V
0.334 0.667 0.899 V
0.000 0.000 0.651 V
0.000 0.000 0.349 V
0.000 0.000 0.000 Ti
0.667 0.333 0.434 Ti
0.333 0.667 0.566 Ti
0.333 0.666 0.223 Ga
0.667 0.334 0.777 Ga
```


# 14
Ti2VGa3: relaxed, PBE.

Symmetry: Immm (71)
DOS(E_F) (states/eV/cell): 3.81
Energy of formation from the pure elements (eV per atom): -0.33
Relative energy among the computed polymorphs (meV/atom): 0

Structure (POSCAR):
```
Ti2VGa3
1.0
0.333 3.299 1.383
-2.850 1.277 -2.361
-3.345 -3.802 5.217
V Ti Ga
1 2 3
Direct
0.000 0.000 0.000 V
0.339 0.839 0.678 Ti
0.661 0.161 0.322 Ti
0.858 0.358 0.716 Ga
0.142 0.642 0.284 Ga
0.500 0.500 0.000 Ga
```


# 15
TiV4Ga2: relaxed, PBE.

Symmetry: P2_1/m (11)
DOS(E_F) (states/eV/cell): 16.50
Energy of formation from the pure elements (eV per atom): -0.07
Relative energy among the computed polymorphs (meV/atom): 0

Structure (POSCAR):
```
TiV4Ga2
1.0
-0.999 -4.122 -5.331
1.004 -3.963 2.876
-5.353 1.326 3.697
V Ga Ti
8 4 2
Direct
0.101 0.750 0.863 V
0.899 0.250 0.137 V
0.416 0.502 0.783 V
0.584 0.002 0.217 V
0.042 0.250 0.522 V
0.584 0.498 0.217 V
0.416 0.998 0.783 V
0.958 0.750 0.478 V
0.357 0.250 0.411 Ga
0.643 0.750 0.589 Ga
0.202 0.250 0.981 Ga
0.798 0.750 0.019 Ga
0.773 0.250 0.706 Ti
0.227 0.750 0.294 Ti
```


# 16
Ti8V2Ga3: relaxed, PBE.

Symmetry: R-3m (166)
DOS(E_F) (states/eV/cell): 19.11
Energy of formation from the pure elements (eV per atom): 0.14

Structure (POSCAR):
```
Ti8V2Ga3
1.0
5.260 0.000 0.000
2.630 4.556 0.000
2.630 1.519 9.095
Ti Ga V
8 3 2
Direct
0.721 0.232 0.326 Ti
0.279 0.768 0.674 Ti
0.232 0.721 0.326 Ti
0.768 0.279 0.674 Ti
0.279 0.279 0.674 Ti
0.283 0.283 0.151 Ti
0.721 0.721 0.326 Ti
0.717 0.717 0.849 Ti
0.190 0.190 0.430 Ga
0.000 0.000 0.000 Ga
0.810 0.810 0.570 Ga
0.640 0.640 0.081 V
0.360 0.360 0.919 V
```


# 17
Ti3V3Ga5: relaxed, PBE.

Symmetry: P1 (1)
DOS(E_F) (states/eV/cell): 8.16
Energy of formation from the pure elements (eV per atom): -0.19

Structure (POSCAR):
```
Ti3V3Ga5
1.0
-3.241 -3.127 2.524
-5.764 -2.410 -1.895
7.373 -3.504 -1.060
Ga V Ti
5 3 3
Direct
0.532 0.573 0.135 Ga
0.515 0.103 0.378 Ga
0.896 0.668 0.504 Ga
0.211 0.962 0.496 Ga
0.572 0.543 0.622 Ga
0.136 0.493 0.180 V
0.550 0.829 0.002 V
0.556 0.056 0.867 V
0.949 0.150 0.819 Ti
0.917 0.110 0.204 Ti
0.167 0.514 0.793 Ti
```


# 18
Ti2V2Ga: relaxed, PBE.

Symmetry: C2/m (12)
DOS(E_F) (states/eV/cell): 11.26
Energy of formation from the pure elements (eV per atom): -0.15
Relative energy among the computed polymorphs (meV/atom): 0

Structure (POSCAR):
```
Ti2V2Ga
1.0
3.960 0.000 -1.083
-0.531 5.187 -1.940
-0.100 -0.070 7.417
Ti V Ga
4 4 2
Direct
0.394 0.883 0.788 Ti
0.394 0.383 0.788 Ti
0.606 0.617 0.212 Ti
0.606 0.117 0.212 Ti
0.790 0.973 0.580 V
0.790 0.473 0.580 V
0.210 0.027 0.420 V
0.210 0.527 0.420 V
0.000 0.750 0.000 Ga
0.000 0.250 0.000 Ga
```


# 19
TiV5Ga3: relaxed, PBE.

Symmetry: I4/mcm (140)
DOS(E_F) (states/eV/cell): 19.36
Energy of formation from the pure elements (eV per atom): 0.19

Structure (POSCAR):
```
TiV5Ga3
1.0
-4.317 -4.820 1.978
-0.549 -2.133 -6.397
6.924 -0.201 3.050
Ga Ti V
6 2 10
Direct
0.616 0.116 0.000 Ga
0.250 0.250 0.500 Ga
0.116 0.384 0.000 Ga
0.750 0.750 0.500 Ga
0.384 0.884 0.000 Ga
0.884 0.616 0.000 Ga
0.750 0.250 0.500 Ti
0.250 0.750 0.500 Ti
0.429 0.354 0.283 V
0.000 0.000 0.000 V
0.646 0.146 0.717 V
0.354 0.854 0.283 V
0.571 0.646 0.717 V
0.929 0.429 0.283 V
0.071 0.571 0.717 V
0.854 0.929 0.283 V
0.500 0.500 0.000 V
0.146 0.071 0.717 V
```


# 20
Ti12V2Ga5: relaxed, PBE.

Symmetry: C2/m (12)
DOS(E_F) (states/eV/cell): 21.33
Energy of formation from the pure elements (eV per atom): -0.15

Structure (POSCAR):
```
Ti12V2Ga5
1.0
-4.128 7.342 -1.951
-0.364 -6.115 -3.085
-5.496 -2.140 3.575
Ga Ti V
5 12 2
Direct
0.234 0.469 0.492 Ga
0.766 0.531 0.508 Ga
0.662 0.324 0.903 Ga
0.000 0.000 0.500 Ga
0.338 0.676 0.097 Ga
0.382 0.220 0.612 Ti
0.342 0.296 0.196 Ti
0.574 0.148 0.290 Ti
0.618 0.780 0.388 Ti
0.954 0.296 0.196 Ti
0.046 0.704 0.804 Ti
0.426 0.852 0.710 Ti
0.658 0.704 0.804 Ti
0.106 0.212 0.869 Ti
0.163 0.780 0.388 Ti
0.894 0.788 0.131 Ti
0.837 0.220 0.612 Ti
0.283 0.000 0.000 V
0.717 0.000 0.000 V
```